Entry 1:
# ZnCrSe2Br

A PBEsol-optimized structure of ZnCrSe2Br (meta-GGA SCAN, Alexandria via LeMat-Bulk).

**Energy**: -91.34 eV/f.u.
**Magnetic moment**: 1.89 Bohr magnetons per cell
**ΔE_f (raw)**: 35 meV per atom

a b c (Å): 4.6995 4.6995 5.0903
angles (deg): 90.00 90.00 90.00
Positions (direct):
1 Zn 0.0000 0.0000 0.0000
2 Cr 0.5000 0.5000 0.5000
3 Se 0.0000 0.5000 0.5000
4 Se 0.5000 0.0000 0.5000
5 Br 0.5000 0.5000 0.0000

Entry 2:
# CrSiBr2

A PBEsol-optimized structure of CrSiBr2 (meta-GGA SCAN, Alexandria via LeMat-Bulk).

**Energy relative to the lowest polymorph listed for this composition**: 0.3310 eV/atom
**Energy**: -66.66 eV/f.u.
**Magnetic moment**: 4.45 Bohr magnetons per cell
**ΔE_f (raw)**: 164 meV per atom

a b c (Å): 3.4458 3.4458 8.9537
angles (deg): 90.00 90.00 120.74
Positions (direct):
1 Cr 0.0000 0.0000 0.0000
2 Si 0.0000 0.0000 0.5000
3 Br 0.5000 0.5000 0.2054
4 Br 0.5000 0.5000 0.7946

Entry 3:
# CrSiBr

A PBEsol-optimized structure of CrSiBr (meta-GGA SCAN, Alexandria via LeMat-Bulk).

**Energy**: -47.46 eV/f.u.
**Magnetic moment**: 3.11 Bohr magnetons per cell
**ΔE_f (raw)**: 134 meV per atom

a b c (Å): 6.2656 6.2656 6.2656
angles (deg): 150.99 150.99 41.49
Positions (direct):
1 Cr 0.0000 0.0000 0.0000
2 Si 0.4117 0.4117 0.0000
3 Br 0.2093 0.2093 0.0000

Entry 4:
# CrSi2Br

A PBEsol-optimized structure of CrSi2Br (meta-GGA SCAN, Alexandria via LeMat-Bulk).

**Energy relative to the lowest polymorph listed for this composition**: 0.3213 eV/atom
**Energy**: -54.88 eV/f.u.
**Magnetic moment**: 4.17 Bohr magnetons per cell
**ΔE_f (raw)**: 749 meV per atom

a b c (Å): 4.5759 4.5759 4.5759
angles (deg): 60.00 60.00 60.00
Positions (direct):
1 Cr 0.0000 0.0000 0.0000
2 Si 0.2500 0.2500 0.2500
3 Si 0.5000 0.5000 0.5000
4 Br 0.7500 0.7500 0.7500

Entry 5:
# CrSi2Br

A PBEsol-optimized structure of CrSi2Br (meta-GGA SCAN, Alexandria via LeMat-Bulk).

**Energy relative to the lowest polymorph listed for this composition**: 0.4634 eV/atom
**Energy**: -54.31 eV/f.u.
**Magnetic moment**: 4.35 Bohr magnetons per cell
**ΔE_f (raw)**: 891 meV per atom

a b c (Å): 6.9348 6.9348 6.9348
angles (deg): 130.92 130.92 71.93
Positions (direct):
1 Cr 0.0000 0.0000 0.0000
2 Cr 0.7500 0.2500 0.5000
3 Si 0.0575 0.6250 0.9325
4 Si 0.3750 0.3075 0.4325
5 Si 0.6925 0.1250 0.0675
6 Si 0.8750 0.9425 0.5675
7 Br 0.2500 0.7500 0.5000
8 Br 0.5000 0.5000 0.0000

Entry 6:
# CrSiBr2

A PBEsol-optimized structure of CrSiBr2 (meta-GGA SCAN, Alexandria via LeMat-Bulk).

**Energy relative to the lowest polymorph listed for this composition**: 0.3415 eV/atom
**Energy**: -66.62 eV/f.u.
**Magnetic moment**: 4.04 Bohr magnetons per cell
**ΔE_f (raw)**: 175 meV per atom

a b c (Å): 4.9182 4.9182 4.9182
angles (deg): 114.33 114.33 100.13
Positions (direct):
1 Cr 0.0000 0.0000 0.0000
2 Si 0.5000 0.5000 0.0000
3 Br 0.0000 0.5000 0.5000
4 Br 0.5000 0.0000 0.5000

Entry 7:
# CrSi2Br

A PBEsol-optimized structure of CrSi2Br (meta-GGA SCAN, Alexandria via LeMat-Bulk).

**Energy relative to the lowest polymorph listed for this composition**: 0.0000 eV/atom
**Energy**: -56.17 eV/f.u.
**Magnetic moment**: 1.18 Bohr magnetons per cell
**ΔE_f (raw)**: 427 meV per atom

a b c (Å): 7.6569 7.6569 7.6569
angles (deg): 23.49 23.49 23.49
Positions (direct):
1 Cr 0.0000 0.0000 0.0000
2 Si 0.2639 0.2639 0.2639
3 Si 0.7361 0.7361 0.7361
4 Br 0.5000 0.5000 0.5000

Entry 8:
# Cr3SiBr

A PBEsol-optimized structure of Cr3SiBr (meta-GGA SCAN, Alexandria via LeMat-Bulk).

**Energy**: -76.68 eV/f.u.
**Magnetic moment**: 2.78 Bohr magnetons per cell
**ΔE_f (raw)**: 1590 meV per atom

a b c (Å): 4.2722 4.2722 4.2722
angles (deg): 90.00 90.00 90.00
Positions (direct):
1 Cr 0.0000 0.0000 0.5000
2 Cr 0.0000 0.5000 0.0000
3 Cr 0.5000 0.0000 0.0000
4 Si 0.5000 0.5000 0.5000
5 Br 0.0000 0.0000 0.0000

Entry 9:
# CrSiBr2

A PBEsol-optimized structure of CrSiBr2 (meta-GGA SCAN, Alexandria via LeMat-Bulk).

**Energy relative to the lowest polymorph listed for this composition**: 0.0000 eV/atom
**Energy**: -67.99 eV/f.u.
**Magnetic moment**: 2.06 Bohr magnetons per cell
**ΔE_f (raw)**: -167 meV per atom

a b c (Å): 3.4345 3.4345 7.8142
angles (deg): 90.00 90.00 90.00
Positions (direct):
1 Cr 0.0000 0.0000 0.0000
2 Si 0.5000 0.5000 0.9494
3 Br 0.0000 0.0000 0.2891
4 Br 0.5000 0.5000 0.6589

Entry 10:
# CrSiBr2

A PBEsol-optimized structure of CrSiBr2 (meta-GGA SCAN, Alexandria via LeMat-Bulk).

**Energy relative to the lowest polymorph listed for this composition**: 0.1367 eV/atom
**Energy**: -67.44 eV/f.u.
**Magnetic moment**: 2.78 Bohr magnetons per cell
**ΔE_f (raw)**: -30 meV per atom

a b c (Å): 7.4043 7.4043 3.8946
angles (deg): 98.65 98.65 24.87
Positions (direct):
1 Cr 0.0000 0.0000 0.0000
2 Si 0.5000 0.5000 0.5000
3 Br 0.3536 0.3536 0.8007
4 Br 0.6464 0.6464 0.1993

Entry 11:
# CrSiBr2

A PBEsol-optimized structure of CrSiBr2 (meta-GGA SCAN, Alexandria via LeMat-Bulk).

**Energy relative to the lowest polymorph listed for this composition**: 0.5680 eV/atom
**Energy**: -65.72 eV/f.u.
**Magnetic moment**: 4.59 Bohr magnetons per cell
**ΔE_f (raw)**: 401 meV per atom

a b c (Å): 4.8720 4.8720 3.4241
angles (deg): 90.00 90.00 90.00
Positions (direct):
1 Cr 0.0000 0.0000 0.0000
2 Si 0.5000 0.5000 0.0000
3 Br 0.0000 0.5000 0.5000
4 Br 0.5000 0.0000 0.5000

Entry 12:
# CrSn3Br

A PBEsol-optimized structure of CrSn3Br (meta-GGA SCAN, Alexandria via LeMat-Bulk).

**Energy**: -140.71 eV/f.u.
**Magnetic moment**: 4.93 Bohr magnetons per cell
**ΔE_f (raw)**: 979 meV per atom

a b c (Å): 5.4211 5.4211 5.4211
angles (deg): 90.00 90.00 90.00
Positions (direct):
1 Cr 0.0000 0.0000 0.0000
2 Sn 0.0000 0.5000 0.5000
3 Sn 0.5000 0.0000 0.5000
4 Sn 0.5000 0.5000 0.0000
5 Br 0.5000 0.5000 0.5000